(1)
# PBE Tm6InSn3, optimized geometry
data_Tm6InSn3
_space_group_name_H-M_alt 'C m c 21'
_space_group_IT_number 36
_cell_length_a 12.077
_cell_length_b 12.086
_cell_length_c 7.552
_cell_angle_alpha 90.00
_cell_angle_beta 90.00
_cell_angle_gamma 90.00
loop_
_space_group_symop_operation_xyz
'x,y,z'
'-x,-y,z+1/2'
'-x,y,z'
'x,-y,z+1/2'
'x+1/2,y+1/2,z'
'-x+1/2,-y+1/2,z+1/2'
'-x+1/2,y+1/2,z'
'x+1/2,-y+1/2,z+1/2'
loop_
_atom_site_label
_atom_site_fract_x
_atom_site_fract_y
_atom_site_fract_z
_atom_site_occupancy
Tm1 0.000 0.124 0.000 1
Tm2 0.000 0.167 0.489 1
Tm3 0.146 0.476 0.489 1
Tm4 0.248 0.258 0.752 1
In1 0.000 0.343 0.199 1
Sn1 0.000 0.346 0.780 1
Sn2 0.158 0.011 0.737 1
# Magnetic moment = 0.006 μB/f.u.
# Theoretical density = 8.9 g cm⁻³
# Formation energy from the elements = -509 meV/atom

***

(2)
# PBE Tm5InSn, optimized geometry
data_Tm5InSn
_space_group_name_H-M_alt 'C 1 2/c 1'
_space_group_IT_number 15
_cell_length_a 8.468
_cell_length_b 8.532
_cell_length_c 11.328
_cell_angle_alpha 90.00
_cell_angle_beta 104.06
_cell_angle_gamma 90.00
loop_
_space_group_symop_operation_xyz
'x,y,z'
'-x,-y,-z'
'-x,y,-z+1/2'
'x,-y,z+1/2'
'x+1/2,y+1/2,z'
'-x+1/2,-y+1/2,-z'
'-x+1/2,y+1/2,-z+1/2'
'x+1/2,-y+1/2,z+1/2'
loop_
_atom_site_label
_atom_site_fract_x
_atom_site_fract_y
_atom_site_fract_z
_atom_site_occupancy
Tm1 0.000 0.110 0.250 1
Tm2 0.120 0.357 0.536 1
Tm3 0.209 0.221 0.844 1
In1 0.000 0.468 0.250 1
Sn1 0.000 0.000 0.000 1
# Magnetic moment = 0.000 μB/f.u.
# Theoretical density = 9.0 g cm⁻³
# Formation energy from the elements = -202 meV/atom

***

(3)
# PBE Tm12In3Sn, optimized geometry
data_Tm12In3Sn
_space_group_name_H-M_alt 'P 4/m m m'
_space_group_IT_number 123
_space_group_name_Hall '-P 4 2'
_cell_length_a 4.769
_cell_length_b 4.769
_cell_length_c 19.096
_cell_angle_alpha 90.00
_cell_angle_beta 90.00
_cell_angle_gamma 90.00
loop_
_atom_site_label
_atom_site_fract_x
_atom_site_fract_y
_atom_site_fract_z
_atom_site_occupancy
Tm1 0.000 0.000 0.000 1
Tm2 0.000 0.000 0.249 1
Tm3 0.000 0.000 0.500 1
Tm4 0.000 0.500 0.123 1
Tm5 0.000 0.500 0.374 1
In1 0.500 0.500 0.250 1
In2 0.500 0.500 0.500 1
Sn1 0.500 0.500 0.000 1
# Magnetic moment = 0.000 μB/f.u.
# Theoretical density = 9.5 g cm⁻³
# Formation energy from the elements = -293 meV/atom

***

(4)
# PBE Tm7In2Sn2, optimized geometry
data_Tm7In2Sn2
_space_group_name_H-M_alt 'C m m m'
_space_group_IT_number 65
_space_group_name_Hall '-C 2 2'
_cell_length_a 8.005
_cell_length_b 10.957
_cell_length_c 7.587
_cell_angle_alpha 90.00
_cell_angle_beta 90.00
_cell_angle_gamma 90.00
loop_
_atom_site_label
_atom_site_fract_x
_atom_site_fract_y
_atom_site_fract_z
_atom_site_occupancy
Tm1 0.000 0.000 0.000 1
Tm2 0.000 0.500 0.270 1
Tm3 0.250 0.250 0.285 1
In1 0.177 0.000 0.500 1
Sn1 0.000 0.294 0.000 1
# Magnetic moment = 0.000 μB/f.u.
# Theoretical density = 8.2 g cm⁻³
# Formation energy from the elements = -173 meV/atom

***

(5)
# PBE TmInSn, optimized geometry
data_TmInSn
_space_group_name_H-M_alt 'I 4 m m'
_space_group_IT_number 107
_space_group_name_Hall 'I 4 -2'
_cell_length_a 3.749
_cell_length_b 3.749
_cell_length_c 11.124
_cell_angle_alpha 90.00
_cell_angle_beta 90.00
_cell_angle_gamma 90.00
loop_
_atom_site_label
_atom_site_fract_x
_atom_site_fract_y
_atom_site_fract_z
_atom_site_occupancy
Tm1 0.000 0.000 0.000 1
In1 0.000 0.000 0.325 1
Sn1 0.000 0.000 0.674 1
# Polymorph energy (0 for the lowest one) = 18.78 kJ per mole of atoms
# Magnetic moment = 0.000 μB/f.u.
# Theoretical density = 8.5 g cm⁻³
# Formation energy from the elements = -268 meV/atom

***

(6)
# PBE Tm12In6Sn, optimized geometry
data_Tm12In6Sn
_space_group_name_H-M_alt 'R -3'
_space_group_IT_number 148
_space_group_name_Hall '-R 3'
_cell_length_a 13.5303
_cell_length_b 13.5303
_cell_length_c 12.1199
_cell_angle_alpha 90.00
_cell_angle_beta 90.00
_cell_angle_gamma 120.00
loop_
_atom_site_label
_atom_site_fract_x
_atom_site_fract_y
_atom_site_fract_z
_atom_site_occupancy
Tm1 0.0385 0.2159 0.3909 1
Tm2 0.0492 0.2200 0.8924 1
In1 0.0500 0.2610 0.6494 1
Sn1 0.0000 0.0000 0.0000 1
# Magnetic moment = 0.001 μB/f.u.
# Theoretical density = 7.3 g cm⁻³
# Formation energy from the elements = -30 meV/atom

***

> What is the formula in the first record?

Tm6InSn3

***

Please write out number 3 again, unchanged.
# PBE Tm12In3Sn, optimized geometry
data_Tm12In3Sn
_space_group_name_H-M_alt 'P 4/m m m'
_space_group_IT_number 123
_space_group_name_Hall '-P 4 2'
_cell_length_a 4.769
_cell_length_b 4.769
_cell_length_c 19.096
_cell_angle_alpha 90.00
_cell_angle_beta 90.00
_cell_angle_gamma 90.00
loop_
_atom_site_label
_atom_site_fract_x
_atom_site_fract_y
_atom_site_fract_z
_atom_site_occupancy
Tm1 0.000 0.000 0.000 1
Tm2 0.000 0.000 0.249 1
Tm3 0.000 0.000 0.500 1
Tm4 0.000 0.500 0.123 1
Tm5 0.000 0.500 0.374 1
In1 0.500 0.500 0.250 1
In2 0.500 0.500 0.500 1
Sn1 0.500 0.500 0.000 1
# Magnetic moment = 0.000 μB/f.u.
# Theoretical density = 9.5 g cm⁻³
# Formation energy from the elements = -293 meV/atom